#w
Compound: NaMnI2O
Source: the Alexandria database
Functional: PBE with a Hubbard U
Structure: relaxed

```
data_NaMnI2O
_chemical_formula_sum 'Na1 Mn1 I2 O1'
_cell_length_a 5.821
_cell_length_b 5.821
_cell_length_c 4.281
_cell_angle_alpha 90.00
_cell_angle_beta 90.00
_cell_angle_gamma 90.00
_symmetry_space_group_name_H-M 'P 1'
_symmetry_Int_Tables_number 1
_symmetry_space_group_name_Hall 'P 1'
loop_
_atom_site_label
_atom_site_fract_x
_atom_site_fract_y
_atom_site_fract_z
_atom_site_occupancy
I1 0.000 0.500 0.000 1
I2 0.500 0.000 0.000 1
Na1 0.000 0.000 0.000 1
Mn1 0.500 0.500 0.500 1
O1 0.000 0.000 0.500 1
```

Values from the calculation:
**V**: 145.0 Å³ per cell

=====

#x
Compound: NaMnI2O
Source: the Alexandria database
Functional: PBE with a Hubbard U
Structure: relaxed

```
data_NaMnI2O
_chemical_formula_sum 'Na1 Mn1 I2 O1'
_cell_length_a 5.974
_cell_length_b 5.974
_cell_length_c 3.770
_cell_angle_alpha 90.00
_cell_angle_beta 90.00
_cell_angle_gamma 90.00
_symmetry_space_group_name_H-M 'P 1'
_symmetry_Int_Tables_number 1
_symmetry_space_group_name_Hall 'P 1'
loop_
_atom_site_label
_atom_site_fract_x
_atom_site_fract_y
_atom_site_fract_z
_atom_site_occupancy
I1 0.000 0.500 0.000 1
I2 0.500 0.000 0.000 1
Na1 0.500 0.500 0.500 1
Mn1 0.000 0.000 0.000 1
O1 0.000 0.000 0.500 1
```

Values from the calculation:
**V**: 134.6 Å³ per cell

=====

Stability comparison, relative energies in meV per atom: #w 876; #x 0